Compound: KCr4In
Source: Alexandria
Functional: PBE-GGA
Structure: relaxed

Unit cell a=5.6567 b=5.6567 c=5.6567 alpha=60.00 beta=60.00 gamma=60.00
Each line ends with the local moment (μB).
Atoms (fractional coordinates):
Cr  0.3778  0.8666  0.3778  3.49
Cr  0.3778  0.3778  0.8666  3.49
Cr  0.8666  0.3778  0.3778  3.49
In  0.7500  0.7500  0.7500  -0.18
Cr  0.3778  0.3778  0.3778  3.49
K  0.0000  0.0000  0.0000  0.05

Calculated values
As for the formation energy: 1133 meV/atom. As for the density of states at the Fermi level: 7.7 states/eV per cell. The final energy comes out at -5.92 eV/atom.



Compound: TiCrIrRu
Source: Alexandria
Functional: PBE-GGA
Structure: relaxed

Unit cell a=4.3336 b=4.3336 c=4.3336 alpha=60.00 beta=60.00 gamma=60.00
Each line ends with the local moment (μB).
Atoms (fractional coordinates):
Ir  0.0000  0.0000  0.0000  0.13
Ru  0.5000  0.5000  0.5000  -0.06
Ti  0.2500  0.2500  0.2500  0.13
Cr  0.7500  0.7500  0.7500  2.64

Calculated values
As for the formation energy: -342 meV/atom. As for the density of states at the Fermi level: 5.1 states/eV per cell. The final energy comes out at -9.26 eV/atom.



Compound: Mg9Mn2N8
Source: Alexandria
Functional: PBE-GGA
Structure: relaxed

Unit cell a=8.2492 b=4.3298 c=7.1402 alpha=90.00 beta=72.09 gamma=74.79
Each line ends with the local moment (μB).
Atoms (fractional coordinates):
N  0.3581  0.8209  0.5820  0.03
N  0.2204  0.8898  0.0157  0.02
Mg  0.3425  0.8287  0.2534  0.00
Mg  0.9222  0.0389  0.2124  0.00
N  0.6419  0.1791  0.4180  0.03
Mn  0.5828  0.2086  0.2029  1.74
N  0.6546  0.6727  0.7406  -0.01
Mg  0.0778  0.9611  0.7876  0.00
Mg  0.1896  0.4052  0.0473  0.00
Mg  0.3386  0.3307  0.5719  0.00
N  0.0675  0.4662  0.7466  0.01
N  0.7796  0.1102  0.9843  0.02
Mn  0.4172  0.7914  0.7971  1.74
N  0.9325  0.5338  0.2534  0.01
Mg  0.6614  0.6693  0.4281  0.00
N  0.3454  0.3273  0.2594  -0.01
Mg  0.8104  0.5948  0.9527  0.00
Mg  0.0000  0.5000  0.5000  0.00
Mg  0.6575  0.1713  0.7466  0.00

Calculated values
As for the density of states at the Fermi level: 2.6 states/eV per cell. The final energy comes out at -5.78 eV/atom. For the uncorrected formation energy, the calculation gives -0.557 eV per atom.